1.
Below is a relaxed structure of AcTb7Dy2, with properties calculated at the PBE level.

Cell lengths 6.2269, 8.0501, 8.0413 Å; angles 90.10, 104.89, 121.17 degrees
Sites, in units of the cell vectors:
1 Ac 0.0000 0.0000 0.0000
2 Tb 0.9994 0.7979 0.4034
3 Tb 0.0006 0.2021 0.5966
4 Tb 0.0005 0.5958 0.7974
5 Tb 0.9995 0.4042 0.2026
6 Tb 0.4991 0.8985 0.2045
7 Tb 0.5009 0.1015 0.7955
8 Tb 0.5000 0.5000 0.0000
9 Dy 0.4959 0.6965 0.5967
10 Dy 0.5041 0.3035 0.4033


2.
Below is a relaxed structure of Ac2Tb2Dy3, with properties calculated at the PBE level.

Cell lengths 5.0246, 3.6666, 13.7961 Å; angles 90.00, 100.49, 90.00 degrees
Sites, in units of the cell vectors:
1 Ac 0.2978 0.5000 0.5956
2 Ac 0.7022 0.5000 0.4044
3 Tb 0.1282 0.0000 0.2563
4 Tb 0.8718 0.0000 0.7437
5 Dy 0.4344 0.5000 0.8688
6 Dy 0.5656 0.5000 0.1312
7 Dy 0.0000 0.0000 0.0000


3.
Below is a relaxed structure of AcTb3Dy6, with properties calculated at the PBE level.

Cell lengths 8.9785, 9.1253, 9.1253 Å; angles 116.78, 90.00, 90.00 degrees
Sites, in units of the cell vectors:
1 Ac 0.0165 0.2218 0.7782
2 Ac 0.5165 0.7782 0.2218
3 Tb 0.4344 0.9686 0.6867
4 Tb 0.9344 0.6867 0.9686
5 Tb 0.4151 0.5491 0.4509
6 Tb 0.9151 0.4509 0.5491
7 Tb 0.9344 0.0314 0.3133
8 Tb 0.4344 0.3133 0.0314
9 Dy 0.1047 0.8031 0.6880
10 Dy 0.6047 0.6880 0.8031
11 Dy 0.2758 0.5306 0.8237
12 Dy 0.7758 0.8237 0.5306
13 Dy 0.2823 0.9514 0.0486
14 Dy 0.6417 0.2866 0.7134
15 Dy 0.1417 0.7134 0.2866
16 Dy 0.7823 0.0486 0.9514
17 Dy 0.2758 0.1763 0.4694
18 Dy 0.7758 0.4694 0.1763
19 Dy 0.1047 0.3120 0.1969
20 Dy 0.6047 0.1969 0.3120


4.
Below is a relaxed structure of AcTb12Dy7, with properties calculated at the PBE level.

Cell lengths 8.7396, 8.7396, 8.7396 Å; angles 87.37, 87.37, 87.37 degrees
Sites, in units of the cell vectors:
1 Ac 0.0000 0.0000 0.0000
2 Tb 0.8509 0.2724 0.7222
3 Tb 0.7276 0.2778 0.1491
4 Tb 0.6223 0.1348 0.4941
5 Tb 0.8652 0.5059 0.3777
6 Tb 0.2778 0.1491 0.7276
7 Tb 0.5059 0.3777 0.8652
8 Tb 0.4941 0.6223 0.1348
9 Tb 0.7222 0.8509 0.2724
10 Tb 0.1348 0.4941 0.6223
11 Tb 0.3777 0.8652 0.5059
12 Tb 0.2724 0.7222 0.8509
13 Tb 0.1491 0.7276 0.2778
14 Dy 0.8450 0.6066 0.9359
15 Dy 0.3934 0.0641 0.1550
16 Dy 0.0641 0.1550 0.3934
17 Dy 0.5000 0.5000 0.5000
18 Dy 0.9359 0.8450 0.6066
19 Dy 0.6066 0.9359 0.8450
20 Dy 0.1550 0.3934 0.0641


Which magnetic moment belongs to each record? In order, 0.00, 0.00, 0.00, 0.00 μB per atom.
Which E_tot belongs to each record? In order, -45.4, -30.5, -88.3, -87.2 eV per cell.
Which formation energy from the elements belongs to each record? In order, 0.03, 0.11, 0.15, 0.24 eV per atom.